[1]
## LiZnGaHg (PBE-GGA)

Data for a relaxed LiZnGaHg crystal.

distance to the lowest polymorph of the same formula = 0.0179 eV/atom

a b c (Å): 4.639 4.639 4.639
angles (deg): 60.00 60.00 60.00
Element x y z (fractional)
Ga1 0.250 0.250 0.250
Li1 0.000 0.000 0.000
Hg1 0.750 0.750 0.750
Zn1 0.500 0.500 0.500

=====

[2]
## LiZnGaHg (PBE-GGA)

Data for a relaxed LiZnGaHg crystal.

distance to the lowest polymorph of the same formula = 0.0000 eV/atom

a b c (Å): 4.274 4.316 4.969
angles (deg): 117.79 115.47 90.00
Element x y z (fractional)
Hg1 0.999 0.996 0.997
Li1 0.751 0.248 0.501
Zn1 0.248 0.755 0.496
Ga1 0.503 0.501 0.005

=====

[3]
## LiZrGaHg (PBE-GGA)

Data for a relaxed LiZrGaHg crystal.

raw total energy = -14.8 eV per cell

a b c (Å): 4.759 4.759 4.759
angles (deg): 60.00 60.00 60.00
Element x y z (fractional)
Hg1 0.750 0.750 0.750
Ga1 0.250 0.250 0.250
Li1 0.000 0.000 0.000
Zr1 0.500 0.500 0.500

=====

[4]
## LuGaHg2 (PBE-GGA)

Data for a relaxed LuGaHg2 crystal.

raw total energy = -9.0 eV per cell

a b c (Å): 3.741 3.741 6.533
angles (deg): 90.00 90.00 90.00
Element x y z (fractional)
Hg1 0.000 0.000 0.757
Hg2 0.000 0.000 0.243
Lu1 0.500 0.500 0.500
Ga1 0.500 0.500 0.000

=====

[5]
## LuGaHg (PBE-GGA)

Data for a relaxed LuGaHg crystal.

raw total energy = -8.9 eV per cell

a b c (Å): 4.633 4.633 4.633
angles (deg): 60.00 60.00 60.00
Element x y z (fractional)
Hg1 0.000 0.000 0.000
Lu1 0.500 0.500 0.500
Ga1 0.250 0.250 0.250

=====

[6]
## LuGaHg2 (PBE-GGA)

Data for a relaxed LuGaHg2 crystal.

raw total energy = -9.3 eV per cell

a b c (Å): 4.562 4.393 4.393
angles (deg): 90.00 90.00 90.00
Element x y z (fractional)
Ga1 0.500 0.000 0.000
Hg1 0.000 0.500 0.000
Hg2 0.000 0.000 0.500
Lu1 0.500 0.500 0.500

=====

[7]
## LuGaHg (PBE-GGA)

Data for a relaxed LuGaHg crystal.

raw total energy = -8.7 eV per cell

a b c (Å): 3.452 3.452 6.101
angles (deg): 106.43 106.43 90.00
Element x y z (fractional)
Ga1 0.614 0.614 0.229
Hg1 0.956 0.956 0.913
Lu1 0.279 0.279 0.559

=====

[8]
## Lu2GaHg (PBE-GGA)

Data for a relaxed Lu2GaHg crystal.

raw total energy = -14.0 eV per cell

a b c (Å): 3.572 3.572 9.175
angles (deg): 78.78 78.78 60.00
Element x y z (fractional)
Hg1 0.500 0.500 0.500
Ga1 0.000 0.000 0.000
Lu1 0.746 0.746 0.762
Lu2 0.254 0.254 0.238

=====

[9]
## LuGaHg (PBE-GGA)

Data for a relaxed LuGaHg crystal.

raw total energy = -9.1 eV per cell

a b c (Å): 3.495 4.613 4.613
angles (deg): 120.00 90.00 90.00
Element x y z (fractional)
Lu1 0.666 0.667 0.333
Hg1 0.158 0.333 0.667
Ga1 0.176 0.000 0.000

=====

[10]
## Lu2GaHg (PBE-GGA)

Data for a relaxed Lu2GaHg crystal.

raw total energy = -14.4 eV per cell

a b c (Å): 3.564 3.564 7.213
angles (deg): 90.00 90.00 90.00
Element x y z (fractional)
Ga1 0.500 0.500 0.000
Lu1 0.000 0.000 0.238
Lu2 0.000 0.000 0.762
Hg1 0.500 0.500 0.500

=====

[11]
## NaLuGaHg (PBE-GGA)

Data for a relaxed NaLuGaHg crystal.

raw total energy = -10.3 eV per cell

a b c (Å): 5.046 5.046 5.046
angles (deg): 60.00 60.00 60.00
Element x y z (fractional)
Lu1 0.000 0.000 0.000
Na1 0.500 0.500 0.500
Ga1 0.250 0.250 0.250
Hg1 0.750 0.750 0.750

=====

[12]
## LuNpGaHg (PBE-GGA)

Data for a relaxed LuNpGaHg crystal.

raw total energy = -21.2 eV per cell

a b c (Å): 5.136 5.136 5.136
angles (deg): 60.00 60.00 60.00
Element x y z (fractional)
Np1 0.250 0.250 0.250
Ga1 0.000 0.000 0.000
Lu1 0.750 0.750 0.750
Hg1 0.500 0.500 0.500

=====

[13]
## PmLuGaHg (PBE-GGA)

Data for a relaxed PmLuGaHg crystal.

raw total energy = -14.5 eV per cell

a b c (Å): 5.200 5.200 5.200
angles (deg): 60.00 60.00 60.00
Element x y z (fractional)
Lu1 0.500 0.500 0.500
Ga1 0.250 0.250 0.250
Hg1 0.750 0.750 0.750
Pm1 0.000 0.000 0.000

=====

[14]
## PrLuGaHg (PBE-GGA)

Data for a relaxed PrLuGaHg crystal.

raw total energy = -14.5 eV per cell

a b c (Å): 5.244 5.244 5.244
angles (deg): 60.00 60.00 60.00
Element x y z (fractional)
Hg1 0.750 0.750 0.750
Pr1 0.500 0.500 0.500
Lu1 0.000 0.000 0.000
Ga1 0.250 0.250 0.250

=====

[15]
## LuGaHgPt (PBE-GGA)

Data for a relaxed LuGaHgPt crystal.

raw total energy = -16.2 eV per cell

a b c (Å): 4.806 4.806 4.806
angles (deg): 60.00 60.00 60.00
Element x y z (fractional)
Lu1 0.000 0.000 0.000
Pt1 0.750 0.750 0.750
Hg1 0.250 0.250 0.250
Ga1 0.500 0.500 0.500

=====

[16]
## SmLuGaHg (PBE-GGA)

Data for a relaxed SmLuGaHg crystal.

raw total energy = -14.5 eV per cell

a b c (Å): 5.185 5.185 5.185
angles (deg): 60.00 60.00 60.00
Element x y z (fractional)
Lu1 0.000 0.000 0.000
Hg1 0.750 0.750 0.750
Sm1 0.500 0.500 0.500
Ga1 0.250 0.250 0.250

=====

[17]
## TmLuGaHg (PBE-GGA)

Data for a relaxed TmLuGaHg crystal.

raw total energy = -14.3 eV per cell

a b c (Å): 5.093 5.093 5.093
angles (deg): 60.00 60.00 60.00
Element x y z (fractional)
Ga1 0.750 0.750 0.750
Tm1 0.000 0.000 0.000
Lu1 0.500 0.500 0.500
Hg1 0.250 0.250 0.250

=====

[18]
## YLuGaHg (PBE-GGA)

Data for a relaxed YLuGaHg crystal.

raw total energy = -16.3 eV per cell

a b c (Å): 5.133 5.133 5.133
angles (deg): 60.00 60.00 60.00
Element x y z (fractional)
Y1 0.750 0.750 0.750
Lu1 0.250 0.250 0.250
Hg1 0.500 0.500 0.500
Ga1 0.000 0.000 0.000

=====

[19]
## LuZnGaHg (PBE-GGA)

Data for a relaxed LuZnGaHg crystal.

raw total energy = -10.2 eV per cell

a b c (Å): 4.857 4.857 4.857
angles (deg): 60.00 60.00 60.00
Element x y z (fractional)
Ga1 0.250 0.250 0.250
Hg1 0.750 0.750 0.750
Zn1 0.000 0.000 0.000
Lu1 0.500 0.500 0.500

=====

[20]
## LuZrGaHg (PBE-GGA)

Data for a relaxed LuZrGaHg crystal.

raw total energy = -17.8 eV per cell

a b c (Å): 4.966 4.966 4.966
angles (deg): 60.00 60.00 60.00
Element x y z (fractional)
Lu1 0.000 0.000 0.000
Hg1 0.750 0.750 0.750
Zr1 0.500 0.500 0.500
Ga1 0.250 0.250 0.250